Compound: P2WClF
Source: the Alexandria database
Functional: PBE+U
Structure: relaxed

Output
As for the total magnetization: 0.024 μB per atom. The space-group type is No. 123. The energy above the most stable polymorph in this dataset is 0 meV/atom. The value obtained for the calculated total energy is -20.40 eV for the cell shown.

abc: 4.7774 4.7774 4.9081
angles: 90.00 90.00 90.00
Fractional positions:
P 0.5000 0.0000 0.0000
P 0.0000 0.5000 0.0000
Cl 0.0000 0.0000 0.5000
F 0.5000 0.5000 0.5000
W 0.0000 0.0000 0.0000